29
Lattice="-4.6724 4.6724 4.6724 4.6724 -4.6724 4.6724 4.6724 4.6724 -4.6724" Properties=species:S:1:pos:R:3 comment="La4W6O19, optimized geometry, DFT PBE with a Hubbard U" energy_ev_per_atom=-7.846 m_tot_mub_per_cell=4.00 pbc="T T T"
La 1.4042 1.4042 -1.4042
La 1.4042 -1.4042 1.4042
La -1.4042 1.4042 1.4042
La 3.2682 3.2682 3.2682
W 4.6724 1.2946 0.0000
W 4.6724 0.0000 3.3778
W 3.3778 4.6724 0.0000
W 1.2946 0.0000 4.6724
W 0.0000 4.6724 1.2946
W 0.0000 3.3778 4.6724
O 0.0000 0.0000 0.0000
O 3.0175 0.0000 0.0000
O 6.3274 0.0000 0.0000
O 4.8227 -1.4942 1.9804
O 3.1783 2.6920 -0.1503
O 6.1666 2.6920 0.1503
O 0.0000 3.0175 0.0000
O 0.0000 0.0000 3.0175
O 2.6920 -0.1503 3.1783
O 1.9804 4.8227 -1.4942
O 4.5222 1.4942 1.9804
O -0.1503 3.1783 2.6920
O 1.9804 4.5222 1.4942
O 2.6920 0.1503 6.1666
O 0.0000 6.3274 0.0000
O 0.0000 0.0000 6.3274
O 1.4942 1.9804 4.5222
O -1.4942 1.9804 4.8227
O 0.1503 6.1666 2.6920